RbLi2NiSb: optimized geometry, PBEsol.

a b c (Å): 5.2439 5.2439 4.7869
angles (deg): 90.00 90.00 90.00
Atoms (fractional coordinates):
Rb1 0.0000 0.0000 0.0000
Li1 0.0000 0.5000 0.5000
Li2 0.5000 0.0000 0.5000
Ni1 0.5000 0.5000 0.0000
Sb1 0.5000 0.5000 0.5000

size of the total moment: 0.002 μB/f.u.
formation energy without anion corrections: -0.06 eV/atom